# 1
DFT (GGA-PBE) results for an optimized crystal structure of Na2PmSO8.

It has space group P-3m1 (No. 164), with a = 5.1599 Å, b = 5.1599 Å, c = 6.2776 Å, α = 90.00°, β = 90.00° and γ = 120.00°. The asymmetric unit holds Na at (0.3333, 0.6667, 0.3880), Pm at (0.0000, 0.0000, 0.0000), S at (0.0000, 0.0000, 0.5000), O at (0.1475, 0.2951, 0.6559) and O at (0.3333, 0.6667, 0.0208).

Its total magnetization is 5.04 μB per cell. Its theoretical density is 4.027 g cm⁻³. The total energy is -5.255 eV per atom.

# 2
DFT (GGA-PBE) results for an optimized crystal structure of NaPmS2O8.

It has space group P-3 (No. 147), with a = 5.4782 Å, b = 5.4782 Å, c = 7.1927 Å, α = 90.00°, β = 90.00° and γ = 120.00°. The asymmetric unit holds Na at (0.0000, 0.0000, 0.0000), Pm at (0.0000, 0.0000, 0.5000), S at (0.3333, 0.6667, 0.7854), O at (0.1846, 0.3716, 0.7093) and O at (0.3333, 0.6667, 0.9867).

Its total magnetization is 0.00 μB per cell. Its theoretical density is 3.199 g cm⁻³. The total energy is -6.498 eV per atom.

# 3
DFT (GGA-PBE) results for an optimized crystal structure of Na2PmSO6.

It has space group P-3m1 (No. 164), with a = 5.7764 Å, b = 5.7764 Å, c = 5.8025 Å, α = 90.00°, β = 90.00° and γ = 120.00°. The asymmetric unit holds Na at (0.3333, 0.6667, 0.4653), Pm at (0.0000, 0.0000, 0.0000), S at (0.0000, 0.0000, 0.5000) and O at (0.1372, 0.2744, 0.6700).

Its total magnetization is 1.04 μB per cell. Its theoretical density is 3.160 g cm⁻³. The total energy is -5.670 eV per atom.

# 4
DFT (GGA-PBE) results for an optimized crystal structure of NaPm2SbO5.

It has space group P4/mbm (No. 127), with a = 6.780 Å, b = 6.780 Å, c = 6.279 Å, α = 90.00°, β = 90.00° and γ = 90.00°. The asymmetric unit holds Na at (0.000, 0.000, 0.000), Pm at (0.177, 0.323, 0.500), Sb at (0.000, 0.500, 0.000), O at (0.000, 0.000, 0.500) and O at (0.143, 0.643, 0.261).

Its total magnetization is 0.00 μB per cell. Its theoretical density is 5.923 g cm⁻³. The total energy is -6.652 eV per atom.

# 5
DFT (GGA-PBE) results for an optimized crystal structure of Na2PmSbO4.

It has space group P2/m (No. 10), with a = 5.980 Å, b = 3.512 Å, c = 6.068 Å, α = 90.00°, β = 109.49° and γ = 90.00°. The asymmetric unit holds Na at (0.000, 0.000, 0.000), Na at (0.000, 0.500, 0.500), Pm at (0.500, 0.000, 0.500), Sb at (0.500, 0.500, 0.000), O at (0.277, 0.000, 0.759) and O at (0.284, 0.500, 0.259).

Its total magnetization is 0.00 μB per cell. Its theoretical density is 5.208 g cm⁻³. The total energy is -5.881 eV per atom.

# 6
DFT (GGA-PBE) results for an optimized crystal structure of Na4Pm3SbO8.

It has space group R-3m (No. 166, hexagonal axes), with a = 7.0614 Å, b = 7.0614 Å, c = 16.9019 Å, α = 90.00°, β = 90.00° and γ = 120.00°. The asymmetric unit holds Na at (0.0000, 0.0000, 0.0000), Na at (0.0000, 0.5000, 0.0000), Pm at (0.0000, 0.5000, 0.5000), Sb at (0.0000, 0.0000, 0.5000), O at (0.0000, 0.0000, 0.2381) and O at (0.0016, 0.5008, 0.2394).

Its total magnetization is 0.00 μB per cell. Its theoretical density is 5.301 g cm⁻³. The total energy is -6.271 eV per atom.

# 7
DFT (GGA-PBE) results for an optimized crystal structure of NaPm2SbO6.

It has space group R3 (No. 146, hexagonal axes), with a = 5.8042 Å, b = 5.8042 Å, c = 14.8552 Å, α = 90.00°, β = 90.00° and γ = 120.00°. The asymmetric unit holds Na at (0.0000, 0.0000, 0.0000), Pm at (0.0000, 0.0000, 0.2712), Pm at (0.0000, 0.0000, 0.7742), Sb at (0.0000, 0.0000, 0.4866), O at (0.0140, 0.3927, 0.2217) and O at (0.0712, 0.6812, 0.0655).

Its total magnetization is 0.00 μB per cell. Its theoretical density is 6.100 g cm⁻³. The total energy is -6.982 eV per atom.

# 8
DFT (GGA-PBE) results for an optimized crystal structure of Na2Pm2SbO6.

It has space group C2/m (No. 12), with a = 6.054 Å, b = 10.497 Å, c = 5.933 Å, α = 90.00°, β = 105.29° and γ = 90.00°. The asymmetric unit holds Na at (0.000, 0.147, 0.000), Pm at (0.000, 0.336, 0.500), Sb at (0.000, 0.000, 0.500), O at (0.201, 0.159, 0.696) and O at (0.243, 0.000, 0.297).

Its total magnetization is 0.00 μB per cell. Its theoretical density is 5.056 g cm⁻³. The total energy is -6.411 eV per atom.